Material: InRe2Si
Method: DFT, GGA-PBE
State: optimized geometry

Unit cell a=5.4906 b=5.4906 c=5.4906 alpha=147.30 beta=134.08 gamma=57.50
Positions (direct):
Re  0.7296  0.2296  0.5000
Re  0.9761  0.9761  0.0000
In  0.2658  0.7658  0.5000
Si  0.5285  0.5285  0.0000

Magnetic moment in Bohr magnetons per cell: 0.00
Raw formation energy in kJ per mole of atoms: 40.55
E above lowest polymorph in eV/atom: 0.220
Total DFT energy (no corrections) in eV/atom: -7.84
V in A^3/atom: 15.9
SG: Imm2 (44)